Record 1
The following is a DFT calculation (PBEsol) of an optimized crystal structure of ScZnSe2.

Output
SG: R-3m, No. 166
magnetization: 0.0 μB per formula unit
E_tot: -20.0 eV/cell

Unit cell a=6.968 b=6.968 c=6.968 alpha=30.83 beta=30.83 gamma=30.83
Fractional coordinates of all 4 atoms:
Sc: 0.000 0.000 0.000
Zn: 0.500 0.500 0.500
Se: 0.250 0.250 0.250
Se: 0.750 0.750 0.750

---

Record 2
The following is a DFT calculation (PBEsol) of an optimized crystal structure of Sc2ZnSe4.

Output
SG: Fd-3m, No. 227
magnetization: 0.0 μB per formula unit
E_tot: -80.0 eV/cell

Unit cell a=7.709 b=7.709 c=7.709 alpha=60.00 beta=60.00 gamma=60.00
Fractional coordinates of all 14 atoms:
Sc: 0.000 0.000 0.000
Sc: 0.000 0.000 0.500
Sc: 0.000 0.500 0.000
Sc: 0.500 0.000 0.000
Zn: 0.375 0.375 0.375
Zn: 0.625 0.625 0.625
Se: 0.237 0.754 0.754
Se: 0.246 0.246 0.246
Se: 0.246 0.246 0.763
Se: 0.246 0.763 0.246
Se: 0.754 0.237 0.754
Se: 0.754 0.754 0.237
Se: 0.754 0.754 0.754
Se: 0.763 0.246 0.246

---

Record 3
The following is a DFT calculation (PBEsol) of an optimized crystal structure of ScZnSe2.

Output
SG: I-42d, No. 122
magnetization: 0.8 μB per formula unit
E_tot: -38.6 eV/cell

Unit cell a=6.985 b=6.985 c=6.985 alpha=129.24 beta=129.24 gamma=74.62
Fractional coordinates of all 8 atoms:
Sc: 0.000 0.000 0.000
Sc: 0.750 0.250 0.500
Zn: 0.250 0.750 0.500
Zn: 0.500 0.500 0.000
Se: 0.147 0.625 0.022
Se: 0.375 0.397 0.522
Se: 0.603 0.125 0.978
Se: 0.875 0.853 0.478

---

Record 4
The following is a DFT calculation (PBEsol) of an optimized crystal structure of ScZn2Se.

Output
SG: Pm, No. 6
magnetization: 0.0 μB per formula unit
E_tot: -15.9 eV/cell

Unit cell a=3.505 b=3.504 c=5.727 alpha=90.00 beta=90.19 gamma=90.00
Fractional coordinates of all 4 atoms:
Sc: 0.000 0.000 0.000
Zn: 0.496 0.500 0.690
Zn: 0.994 0.000 0.517
Se: 0.502 0.500 0.189

---

Record 5
The following is a DFT calculation (PBEsol) of an optimized crystal structure of ScZn2Se.

Output
SG: I-4m2, No. 119
magnetization: 0.0 μB per formula unit
E_tot: -15.6 eV/cell

Unit cell a=5.131 b=5.131 c=5.131 alpha=134.22 beta=134.22 gamma=66.75
Fractional coordinates of all 4 atoms:
Sc: 0.000 0.000 0.000
Zn: 0.500 0.500 0.000
Zn: 0.750 0.250 0.500
Se: 0.250 0.750 0.500

---

Record 6
The following is a DFT calculation (PBEsol) of an optimized crystal structure of ScZn2Se.

Output
SG: F-43m, No. 216
magnetization: 0.0 μB per formula unit
E_tot: -14.9 eV/cell

Unit cell a=4.635 b=4.635 c=4.635 alpha=60.00 beta=60.00 gamma=60.00
Fractional coordinates of all 4 atoms:
Sc: 0.000 0.000 0.000
Zn: 0.250 0.250 0.250
Zn: 0.500 0.500 0.500
Se: 0.750 0.750 0.750

---

Record 7
The following is a DFT calculation (PBEsol) of an optimized crystal structure of ScZnSe2.

Output
SG: Amm2, No. 38
magnetization: 0.0 μB per formula unit
E_tot: -20.4 eV/cell

Unit cell a=3.785 b=5.885 c=5.885 alpha=35.79 beta=90.00 gamma=90.00
Fractional coordinates of all 4 atoms:
Sc: 0.000 0.000 0.000
Zn: 0.500 0.796 0.796
Se: 0.000 0.315 0.315
Se: 0.500 0.576 0.576

---

Record 8
The following is a DFT calculation (PBEsol) of an optimized crystal structure of ScZnSe4.

Output
SG: F-43m, No. 216
magnetization: 0.0 μB per formula unit
E_tot: -22.8 eV/cell

Unit cell a=5.614 b=5.614 c=5.614 alpha=60.00 beta=60.00 gamma=60.00
Fractional coordinates of all 6 atoms:
Sc: 0.000 0.000 0.000
Zn: 0.250 0.250 0.250
Se: 0.125 0.625 0.625
Se: 0.625 0.125 0.625
Se: 0.625 0.625 0.125
Se: 0.625 0.625 0.625

---

Record 9
The following is a DFT calculation (PBEsol) of an optimized crystal structure of ScZnSe.

Output
SG: F-43m, No. 216
magnetization: 0.0 μB per formula unit
E_tot: -13.4 eV/cell

Unit cell a=4.498 b=4.498 c=4.498 alpha=60.00 beta=60.00 gamma=60.00
Fractional coordinates of all 3 atoms:
Sc: 0.000 0.000 0.000
Zn: 0.750 0.750 0.750
Se: 0.250 0.250 0.250

---

Record 10
The following is a DFT calculation (PBEsol) of an optimized crystal structure of ScSi2.

Output
SG: C2/m, No. 12
magnetization: 0.0 μB per formula unit
E_tot: -39.5 eV/cell

Unit cell a=5.167 b=5.167 c=5.763 alpha=104.05 beta=104.05 gamma=43.07
Fractional coordinates of all 6 atoms:
Sc: 0.170 0.170 0.211
Sc: 0.830 0.830 0.789
Si: 0.112 0.112 0.654
Si: 0.447 0.447 0.156
Si: 0.553 0.553 0.844
Si: 0.888 0.888 0.346

---

Record 11
The following is a DFT calculation (PBEsol) of an optimized crystal structure of ScSi.

Output
SG: R-3m, No. 166
magnetization: 0.0 μB per formula unit
E_tot: -25.0 eV/cell

Unit cell a=4.450 b=4.450 c=4.450 alpha=65.80 beta=65.80 gamma=65.80
Fractional coordinates of all 4 atoms:
Sc: 0.136 0.136 0.136
Sc: 0.864 0.864 0.864
Si: 0.389 0.389 0.389
Si: 0.611 0.611 0.611

---

Record 12
The following is a DFT calculation (PBEsol) of an optimized crystal structure of Sc4Si.

Output
SG: Im-3m, No. 229
magnetization: 0.0 μB per formula unit
E_tot: -31.5 eV/cell

Unit cell a=5.377 b=5.377 c=5.377 alpha=109.47 beta=109.47 gamma=109.47
Fractional coordinates of all 5 atoms:
Sc: 0.000 0.000 0.500
Sc: 0.000 0.500 0.000
Sc: 0.500 0.000 0.000
Sc: 0.500 0.500 0.500
Si: 0.000 0.000 0.000

---

Record 13
The following is a DFT calculation (PBEsol) of an optimized crystal structure of Sc5Si3.

Output
SG: I4/mcm, No. 140
magnetization: 0.8 μB per formula unit
E_tot: -112.8 eV/cell

Unit cell a=7.930 b=7.930 c=7.930 alpha=96.46 beta=96.46 gamma=140.80
Fractional coordinates of all 16 atoms:
Sc: 0.082 0.785 0.867
Sc: 0.215 0.082 0.298
Sc: 0.250 0.750 0.500
Sc: 0.285 0.582 0.867
Sc: 0.418 0.285 0.702
Sc: 0.582 0.715 0.298
Sc: 0.715 0.418 0.133
Sc: 0.750 0.250 0.500
Sc: 0.785 0.918 0.702
Sc: 0.918 0.215 0.133
Si: 0.160 0.340 0.500
Si: 0.250 0.250 0.000
Si: 0.340 0.840 0.181
Si: 0.660 0.160 0.819
Si: 0.750 0.750 0.000
Si: 0.840 0.660 0.500

---

Record 14
The following is a DFT calculation (PBEsol) of an optimized crystal structure of ScSi3.

Output
SG: R-3m, No. 166
magnetization: 0.0 μB per formula unit
E_tot: -24.2 eV/cell

Unit cell a=5.055 b=5.055 c=5.055 alpha=116.30 beta=116.30 gamma=116.30
Fractional coordinates of all 4 atoms:
Sc: 0.000 0.000 0.000
Si: 0.000 0.500 0.500
Si: 0.500 0.000 0.500
Si: 0.500 0.500 0.000

---

Record 15
The following is a DFT calculation (PBEsol) of an optimized crystal structure of Sc2Si.

Output
SG: I4/mmm, No. 139
magnetization: 0.0 μB per formula unit
E_tot: -20.4 eV/cell

Unit cell a=6.604 b=6.604 c=6.604 alpha=153.53 beta=153.53 gamma=37.79
Fractional coordinates of all 3 atoms:
Sc: 0.146 0.146 0.000
Sc: 0.854 0.854 0.000
Si: 0.500 0.500 0.000

---

Record 16
The following is a DFT calculation (PBEsol) of an optimized crystal structure of Sc2Si3.

Output
SG: Fdd2, No. 43
magnetization: 0.0 μB per formula unit
E_tot: -67.9 eV/cell

Unit cell a=7.271 b=5.209 c=8.117 alpha=61.66 beta=39.09 gamma=79.26
Fractional coordinates of all 10 atoms:
Sc: 0.231 0.769 0.372
Sc: 0.622 0.878 0.481
Sc: 0.769 0.231 0.628
Sc: 0.878 0.622 0.019
Si: 0.186 0.806 0.052
Si: 0.198 0.294 0.064
Si: 0.294 0.198 0.444
Si: 0.355 0.355 0.645
Si: 0.605 0.605 0.895
Si: 0.806 0.186 0.956

---

Record 17
The following is a DFT calculation (PBEsol) of an optimized crystal structure of Sc5Si.

Output
SG: Cmmm, No. 65
magnetization: 0.0 μB per formula unit
E_tot: -40.3 eV/cell

Unit cell a=6.990 b=6.990 c=4.320 alpha=90.00 beta=90.00 gamma=144.29
Fractional coordinates of all 6 atoms:
Sc: 0.000 0.000 0.000
Sc: 0.155 0.845 0.500
Sc: 0.335 0.665 0.000
Sc: 0.665 0.335 0.000
Sc: 0.845 0.155 0.500
Si: 0.500 0.500 0.500

---

Record 18
The following is a DFT calculation (PBEsol) of an optimized crystal structure of Sc5Si3.

Output
SG: P6_3/mcm, No. 193
magnetization: 0.0 μB per formula unit
E_tot: -113.6 eV/cell

Unit cell a=7.821 b=7.821 c=5.745 alpha=90.00 beta=90.00 gamma=120.00
Fractional coordinates of all 16 atoms:
Sc: 0.000 0.241 0.250
Sc: 0.000 0.759 0.750
Sc: 0.241 0.000 0.250
Sc: 0.241 0.241 0.750
Sc: 0.333 0.667 0.000
Sc: 0.333 0.667 0.500
Sc: 0.667 0.333 0.000
Sc: 0.667 0.333 0.500
Sc: 0.759 0.000 0.750
Sc: 0.759 0.759 0.250
Si: 0.000 0.396 0.750
Si: 0.000 0.604 0.250
Si: 0.396 0.000 0.750
Si: 0.396 0.396 0.250
Si: 0.604 0.000 0.250
Si: 0.604 0.604 0.750

---

Record 19
The following is a DFT calculation (PBEsol) of an optimized crystal structure of Sc3Si.

Output
SG: Pnma, No. 62
magnetization: 0.0 μB per formula unit
E_tot: -109.9 eV/cell

Unit cell a=7.158 b=8.376 c=5.614 alpha=90.00 beta=90.00 gamma=90.00
Fractional coordinates of all 16 atoms:
Sc: 0.031 0.250 0.110
Sc: 0.174 0.051 0.657
Sc: 0.174 0.449 0.657
Sc: 0.326 0.551 0.157
Sc: 0.326 0.949 0.157
Sc: 0.469 0.750 0.610
Sc: 0.531 0.250 0.390
Sc: 0.674 0.051 0.843
Sc: 0.674 0.449 0.843
Sc: 0.826 0.551 0.343
Sc: 0.826 0.949 0.343
Sc: 0.969 0.750 0.890
Si: 0.116 0.750 0.435
Si: 0.384 0.250 0.935
Si: 0.616 0.750 0.065
Si: 0.884 0.250 0.565

---

Record 20
The following is a DFT calculation (PBEsol) of an optimized crystal structure of Sc3Si.

Output
SG: R-3m, No. 166
magnetization: 0.0 μB per formula unit
E_tot: -26.4 eV/cell

Unit cell a=5.585 b=5.585 c=5.585 alpha=116.83 beta=116.83 gamma=116.83
Fractional coordinates of all 4 atoms:
Sc: 0.000 0.500 0.500
Sc: 0.500 0.000 0.500
Sc: 0.500 0.500 0.000
Si: 0.000 0.000 0.000

---

Record 21
The following is a DFT calculation (PBEsol) of an optimized crystal structure of Sc3Si.

Output
SG: Pmm2, No. 25
magnetization: 0.0 μB per formula unit
E_tot: -26.7 eV/cell

Unit cell a=3.181 b=4.645 c=5.335 alpha=90.00 beta=90.00 gamma=90.00
Fractional coordinates of all 4 atoms:
Sc: 0.000 0.000 0.000
Sc: 0.000 0.500 0.373
Sc: 0.500 0.000 0.540
Si: 0.500 0.500 0.851

---

Record 22
The following is a DFT calculation (PBEsol) of an optimized crystal structure of ScSi2.

Output
SG: P4/mmm, No. 123
magnetization: 0.0 μB per formula unit
E_tot: -19.4 eV/cell

Unit cell a=3.617 b=3.617 c=4.139 alpha=90.00 beta=90.00 gamma=90.00
Fractional coordinates of all 3 atoms:
Sc: 0.000 0.000 0.000
Si: 0.000 0.500 0.500
Si: 0.500 0.000 0.500

---

Record 23
The following is a DFT calculation (PBEsol) of an optimized crystal structure of ScSi.

Output
SG: Cmcm, No. 63
magnetization: 0.0 μB per formula unit
E_tot: -28.3 eV/cell

Unit cell a=5.292 b=5.292 c=3.634 alpha=90.00 beta=90.00 gamma=136.22
Fractional coordinates of all 4 atoms:
Sc: 0.139 0.861 0.750
Sc: 0.861 0.139 0.250
Si: 0.419 0.581 0.750
Si: 0.581 0.419 0.250

---

Record 24
The following is a DFT calculation (PBEsol) of an optimized crystal structure of Sm2ScSi2.

Output
SG: P4/mbm, No. 127
magnetization: 0.0 μB per formula unit
E_tot: -64.4 eV/cell

Unit cell a=7.249 b=7.249 c=4.285 alpha=90.00 beta=90.00 gamma=90.00
Fractional coordinates of all 10 atoms:
Sm: 0.177 0.323 0.000
Sm: 0.323 0.823 0.000
Sm: 0.677 0.177 0.000
Sm: 0.823 0.677 0.000
Sc: 0.000 0.000 0.500
Sc: 0.500 0.500 0.500
Si: 0.119 0.619 0.500
Si: 0.381 0.119 0.500
Si: 0.619 0.881 0.500
Si: 0.881 0.381 0.500

---

Record 25
The following is a DFT calculation (PBEsol) of an optimized crystal structure of SmScSi.

Output
SG: I4/mmm, No. 139
magnetization: 0.6 μB per formula unit
E_tot: -38.8 eV/cell

Unit cell a=8.301 b=8.301 c=8.301 alpha=150.64 beta=150.64 gamma=42.01
Fractional coordinates of all 6 atoms:
Sm: 0.177 0.177 0.000
Sm: 0.823 0.823 0.000
Sc: 0.000 0.500 0.500
Sc: 0.500 0.000 0.500
Si: 0.375 0.375 0.000
Si: 0.625 0.625 0.000

---

Record 26
The following is a DFT calculation (PBEsol) of an optimized crystal structure of ScSi3Sn.

Output
SG: Pm-3m, No. 221
magnetization: 0.0 μB per formula unit
E_tot: -22.8 eV/cell

Unit cell a=5.013 b=5.013 c=5.013 alpha=90.00 beta=90.00 gamma=90.00
Fractional coordinates of all 5 atoms:
Sc: 0.000 0.000 0.000
Si: 0.000 0.500 0.500
Si: 0.500 0.000 0.500
Si: 0.500 0.500 0.000
Sn: 0.500 0.500 0.500